[1]
VASP calculation (PBE-GGA) on an optimized crystal structure of Pr3NbSe6.

## Properties
V in Å³ per atom: 29.4
Crystal system: orthorhombic
E_form (uncorrected) in eV/atom: -1.46

Cell and atoms, written as CIF:
```
data_Pr3NbSe6
_space_group_name_H-M_alt 'C m c 21'
_space_group_IT_number 36
_space_group_name_Hall 'C 2c -2'
_cell_length_a 11.606
_cell_length_b 14.349
_cell_length_c 7.066
_cell_angle_alpha 90.00
_cell_angle_beta 90.00
_cell_angle_gamma 90.00
loop_
_atom_site_label
_atom_site_type_symbol
_atom_site_fract_x
_atom_site_fract_y
_atom_site_fract_z
Pr1 Pr 0.000 0.098 0.000
Pr2 Pr 0.181 0.404 0.092
Nb1 Nb 0.000 0.302 0.636
Se1 Se 0.000 0.279 0.279
Se2 Se 0.000 0.465 0.788
Se3 Se 0.162 0.031 0.296
Se4 Se 0.169 0.236 0.812
```

[2]
VASP calculation (PBE-GGA) on an optimized crystal structure of BaMg2GaSn.

## Properties
Energy of formation in eV/atom: 0.190
V in Å³ per atom: 38.8
Crystal system: tetragonal

Cell and atoms, written as CIF:
```
data_BaMg2GaSn
_space_group_name_H-M_alt 'P 4/m m m'
_space_group_IT_number 123
_space_group_name_Hall '-P 4 2'
_cell_length_a 5.370
_cell_length_b 5.370
_cell_length_c 6.722
_cell_angle_alpha 90.00
_cell_angle_beta 90.00
_cell_angle_gamma 90.00
loop_
_atom_site_label
_atom_site_type_symbol
_atom_site_fract_x
_atom_site_fract_y
_atom_site_fract_z
Ba1 Ba 0.000 0.000 0.000
Mg1 Mg 0.000 0.500 0.500
Ga1 Ga 0.500 0.500 0.000
Sn1 Sn 0.000 0.000 0.500
```

Number 1: total magnetization 8.09 μB per cell, final energy -5.988 eV per atom. Number 2: total magnetization 0.00 μB per cell, final energy -2.238 eV per atom.